# 1
The following is a DFT calculation (PBE) of an optimized crystal structure of SrTa4As.

abc: 5.716 5.716 5.716
angles: 60.00 60.00 60.00
Positions (direct):
Sr1 0.000 0.000 0.000
Ta1 0.113 0.629 0.629
Ta2 0.629 0.113 0.629
Ta3 0.629 0.629 0.113
Ta4 0.629 0.629 0.629
As1 0.250 0.250 0.250

## Properties
As for the space group: F-43m. The value obtained for the magnetic moment is 0.00 μB per formula unit. The total energy comes out at -8.2292 eV/atom. The calculation puts the energy of formation at 0.728 eV per atom.



# 2
The following is a DFT calculation (PBE) of an optimized crystal structure of Sr2TaAs.

abc: 3.227 3.362 9.872
angles: 90.00 90.00 90.00
Positions (direct):
Sr1 0.000 0.000 0.229
Sr2 0.000 0.000 0.771
Ta1 0.500 0.500 0.500
As1 0.500 0.500 0.000

## Properties
As for the space group: Pmmm. The value obtained for the magnetic moment is 0.00 μB per formula unit. The total energy comes out at -4.6778 eV/atom. The calculation puts the energy of formation at 0.289 eV per atom.



# 3
The following is a DFT calculation (PBE) of an optimized crystal structure of SrTa2As.

abc: 3.098 5.445 5.205
angles: 90.00 92.39 90.00
Positions (direct):
Sr1 0.000 0.000 0.000
Ta1 0.378 0.500 0.747
Ta2 0.622 0.500 0.253
As1 0.500 0.000 0.500

## Properties
As for the space group: P2/m. The value obtained for the magnetic moment is 0.00 μB per formula unit. The total energy comes out at -7.0129 eV/atom. The calculation puts the energy of formation at 0.496 eV per atom.



# 4
The following is a DFT calculation (PBE) of an optimized crystal structure of SrTaAs2.

abc: 7.263 7.617 3.239
angles: 90.00 105.54 90.00
Positions (direct):
Sr1 0.000 0.000 0.000
Sr2 0.500 0.500 0.000
Ta1 0.000 0.500 0.000
Ta2 0.500 0.000 0.000
As1 0.250 0.250 0.500
As2 0.250 0.750 0.500
As3 0.750 0.250 0.500
As4 0.750 0.750 0.500

## Properties
The energy above the most stable polymorph in this dataset is 616 meV/atom. As for the space group: C2/m. The value obtained for the magnetic moment is 0.00 μB per formula unit. The total energy comes out at -5.7782 eV/atom. The calculation puts the energy of formation at -0.070 eV per atom.



# 5
The following is a DFT calculation (PBE) of an optimized crystal structure of Sr2TaAs.

abc: 6.859 3.195 10.246
angles: 90.00 96.92 90.00
Positions (direct):
Sr1 0.241 0.000 0.225
Sr2 0.259 0.500 0.775
Sr3 0.741 0.500 0.225
Sr4 0.759 0.000 0.775
Ta1 0.000 0.000 0.500
Ta2 0.500 0.500 0.500
As1 0.000 0.500 0.000
As2 0.500 0.000 0.000

## Properties
As for the space group: C2/m. The value obtained for the magnetic moment is 0.00 μB per formula unit. The total energy comes out at -4.5057 eV/atom. The calculation puts the energy of formation at 0.461 eV per atom.



# 6
The following is a DFT calculation (PBE) of an optimized crystal structure of SrTaAs2.

abc: 6.972 6.972 6.972
angles: 90.00 90.00 90.00
Positions (direct):
Sr1 0.000 0.000 0.000
Sr2 0.000 0.500 0.500
Sr3 0.500 0.000 0.500
Sr4 0.500 0.500 0.000
Ta1 0.250 0.250 0.750
Ta2 0.250 0.750 0.250
Ta3 0.750 0.250 0.250
Ta4 0.750 0.750 0.750
As1 0.000 0.000 0.500
As2 0.000 0.500 0.000
As3 0.250 0.250 0.250
As4 0.250 0.750 0.750
As5 0.500 0.000 0.000
As6 0.500 0.500 0.500
As7 0.750 0.250 0.750
As8 0.750 0.750 0.250

## Properties
The energy above the most stable polymorph in this dataset is 1255 meV/atom. As for the space group: F-43m. The value obtained for the magnetic moment is 0.27 μB per formula unit. The total energy comes out at -5.1388 eV/atom. The calculation puts the energy of formation at 0.570 eV per atom.



# 7
The following is a DFT calculation (PBE) of an optimized crystal structure of SrTaAs2.

abc: 4.065 4.065 10.636
angles: 90.00 90.00 90.00
Positions (direct):
Sr1 0.000 0.000 0.000
Sr2 0.500 0.500 0.500
Ta1 0.000 0.500 0.750
Ta2 0.500 0.000 0.250
As1 0.000 0.000 0.500
As2 0.000 0.500 0.250
As3 0.500 0.000 0.750
As4 0.500 0.500 0.000

## Properties
The energy above the most stable polymorph in this dataset is 805 meV/atom. As for the space group: I-4m2. The value obtained for the magnetic moment is 0.00 μB per formula unit. The total energy comes out at -5.5889 eV/atom. The calculation puts the energy of formation at 0.119 eV per atom.



# 8
The following is a DFT calculation (PBE) of an optimized crystal structure of SrTa2As.

abc: 4.149 4.149 4.998
angles: 90.00 90.00 90.00
Positions (direct):
Sr1 0.000 0.000 0.000
Ta1 0.000 0.500 0.500
Ta2 0.500 0.000 0.500
As1 0.500 0.500 0.000

## Properties
As for the space group: P4/mmm. The value obtained for the magnetic moment is 0.00 μB per formula unit. The total energy comes out at -6.9156 eV/atom. The calculation puts the energy of formation at 0.594 eV per atom.



# 9
The following is a DFT calculation (PBE) of an optimized crystal structure of SrTa2As.

abc: 5.854 10.226 2.907
angles: 90.00 90.00 90.00
Positions (direct):
Sr1 0.000 0.000 0.000
Sr2 0.500 0.500 0.000
Ta1 0.250 0.250 0.500
Ta2 0.250 0.750 0.500
Ta3 0.750 0.250 0.500
Ta4 0.750 0.750 0.500
As1 0.000 0.500 0.000
As2 0.500 0.000 0.000

## Properties
As for the space group: Cmmm. The value obtained for the magnetic moment is 0.00 μB per formula unit. The total energy comes out at -6.6665 eV/atom. The calculation puts the energy of formation at 0.843 eV per atom.



# 10
The following is a DFT calculation (PBE) of an optimized crystal structure of Sr2TaAs.

abc: 3.612 3.612 9.140
angles: 90.00 90.00 90.00
Positions (direct):
Sr1 0.000 0.000 0.000
Sr2 0.500 0.500 0.391
Ta1 0.000 0.000 0.653
As1 0.500 0.500 0.743

## Properties
As for the space group: P4mm. The value obtained for the magnetic moment is 0.00 μB per formula unit. The total energy comes out at -5.0150 eV/atom. The calculation puts the energy of formation at -0.049 eV per atom.



# 11
The following is a DFT calculation (PBE) of an optimized crystal structure of SrTa2As.

abc: 3.439 3.439 26.974
angles: 90.00 90.00 120.00
Positions (direct):
Sr1 0.000 0.000 0.000
Sr2 0.333 0.667 0.667
Sr3 0.667 0.333 0.333
Ta1 0.000 0.000 0.517
Ta2 0.000 0.000 0.776
Ta3 0.333 0.667 0.184
Ta4 0.333 0.667 0.443
Ta5 0.667 0.333 0.110
Ta6 0.667 0.333 0.850
As1 0.000 0.000 0.248
As2 0.333 0.667 0.914
As3 0.667 0.333 0.581

## Properties
As for the space group: R3m. The value obtained for the magnetic moment is 0.10 μB per formula unit. The total energy comes out at -7.3144 eV/atom. The calculation puts the energy of formation at 0.195 eV per atom.



# 12
The following is a DFT calculation (PBE) of an optimized crystal structure of Sr2TaAs.

abc: 4.996 4.996 9.043
angles: 90.00 90.00 90.00
Positions (direct):
Sr1 0.000 0.500 0.250
Sr2 0.000 0.500 0.750
Sr3 0.500 0.000 0.250
Sr4 0.500 0.000 0.750
Ta1 0.000 0.000 0.000
Ta2 0.500 0.500 0.500
As1 0.000 0.000 0.500
As2 0.500 0.500 0.000

## Properties
As for the space group: I4/mmm. The value obtained for the magnetic moment is 3.52 μB per formula unit. The total energy comes out at -4.4428 eV/atom. The calculation puts the energy of formation at 0.524 eV per atom.



What did the twelfth record say?
The following is a DFT calculation (PBE) of an optimized crystal structure of Sr2TaAs.

abc: 4.996 4.996 9.043
angles: 90.00 90.00 90.00
Positions (direct):
Sr1 0.000 0.500 0.250
Sr2 0.000 0.500 0.750
Sr3 0.500 0.000 0.250
Sr4 0.500 0.000 0.750
Ta1 0.000 0.000 0.000
Ta2 0.500 0.500 0.500
As1 0.000 0.000 0.500
As2 0.500 0.500 0.000

## Properties
As for the space group: I4/mmm. The value obtained for the magnetic moment is 3.52 μB per formula unit. The total energy comes out at -4.4428 eV/atom. The calculation puts the energy of formation at 0.524 eV per atom.